a) VASP calculation (PBE-GGA) on a geometry-optimized Al4GaCu7 structure.

As for the space-group type: No. 12. For the magnetic moment, the calculation gives 0.000 μB per atom.

Cell: 6.3823 6.3823 9.0749 Å, 127.71 127.71 39.39°
Fractional positions:
Al (0.1811, 0.1811, 0.3619)
Al (0.2775, 0.2775, 0.1573)
Al (0.7225, 0.7225, 0.8427)
Al (0.8189, 0.8189, 0.6381)
Ga (0.5000, 0.5000, 0.0000)
Cu (0.0000, 0.0000, 0.0000)
Cu (0.0814, 0.0814, 0.8029)
Cu (0.1452, 0.1452, 0.5999)
Cu (0.4502, 0.4502, 0.5934)
Cu (0.5498, 0.5498, 0.4066)
Cu (0.8548, 0.8548, 0.4001)
Cu (0.9186, 0.9186, 0.1971)



b) VASP calculation (PBE-GGA) on a geometry-optimized Al4GaCu7 structure.

As for the space-group type: No. 2. For the magnetic moment, the calculation gives 0.000 μB per atom.

Cell: 4.6492 5.2767 6.6096 Å, 90.97 103.21 90.31°
Fractional positions:
Al (0.2058, 0.2267, 0.1628)
Al (0.2750, 0.4919, 0.8184)
Al (0.7250, 0.5081, 0.1816)
Al (0.7942, 0.7733, 0.8372)
Ga (0.5000, 0.0000, 0.5000)
Cu (0.0025, 0.7511, 0.5008)
Cu (0.2248, 0.7323, 0.1624)
Cu (0.2846, 0.9968, 0.8354)
Cu (0.5000, 0.5000, 0.5000)
Cu (0.7154, 0.0032, 0.1646)
Cu (0.7752, 0.2677, 0.8376)
Cu (0.9975, 0.2489, 0.4992)



b) has the most favorable energy; the next structure is 174 meV/atom above.



a) VASP calculation (PBE-GGA) on a geometry-optimized AlGa2Cu5 structure.

As for the space-group type: No. 139. For the magnetic moment, the calculation gives 0.000 μB per atom.

Cell: 3.8740 3.8740 13.9867 Å, 90.00 90.00 90.00°
Fractional positions:
Al (0.0000, 0.0000, 0.0000)
Al (0.5000, 0.5000, 0.5000)
Ga (0.0000, 0.0000, 0.2511)
Ga (0.0000, 0.0000, 0.7489)
Ga (0.5000, 0.5000, 0.2489)
Ga (0.5000, 0.5000, 0.7511)
Cu (0.0000, 0.0000, 0.5000)
Cu (0.0000, 0.5000, 0.1232)
Cu (0.0000, 0.5000, 0.3768)
Cu (0.0000, 0.5000, 0.6232)
Cu (0.0000, 0.5000, 0.8768)
Cu (0.5000, 0.0000, 0.1232)
Cu (0.5000, 0.0000, 0.3768)
Cu (0.5000, 0.0000, 0.6232)
Cu (0.5000, 0.0000, 0.8768)
Cu (0.5000, 0.5000, 0.0000)



b) VASP calculation (PBE-GGA) on a geometry-optimized AlGa2Cu5 structure.

As for the space-group type: No. 123. For the magnetic moment, the calculation gives 0.000 μB per atom.

Cell: 5.5896 5.5896 4.3922 Å, 90.00 90.00 90.00°
Fractional positions:
Al (0.0000, 0.0000, 0.0000)
Ga (0.0000, 0.5000, 0.5000)
Ga (0.5000, 0.0000, 0.5000)
Cu (0.0000, 0.0000, 0.5000)
Cu (0.2904, 0.2904, 0.0000)
Cu (0.2904, 0.7096, 0.0000)
Cu (0.7096, 0.2904, 0.0000)
Cu (0.7096, 0.7096, 0.0000)



a) has the most favorable energy; the next structure is 543 meV/atom above.



a) VASP calculation (PBE-GGA) on a geometry-optimized Al2GaCu8 structure.

As for the space-group type: No. 12. For the magnetic moment, the calculation gives 0.000 μB per atom.

Cell: 6.9115 6.9115 5.8505 Å, 104.69 104.69 31.12°
Fractional positions:
Al (0.2219, 0.2219, 0.1491)
Al (0.7781, 0.7781, 0.8509)
Ga (0.5000, 0.5000, 0.5000)
Cu (0.0432, 0.0432, 0.2247)
Cu (0.1403, 0.1403, 0.6896)
Cu (0.3200, 0.3200, 0.5868)
Cu (0.4072, 0.4072, 0.0460)
Cu (0.5928, 0.5928, 0.9540)
Cu (0.6800, 0.6800, 0.4132)
Cu (0.8597, 0.8597, 0.3104)
Cu (0.9568, 0.9568, 0.7753)



b) VASP calculation (PBE-GGA) on a geometry-optimized Al2GaCu8 structure.

As for the space-group type: No. 12. For the magnetic moment, the calculation gives 0.000 μB per atom.

Cell: 6.7919 6.7919 4.3447 Å, 103.78 103.78 122.56°
Fractional positions:
Al (0.1929, 0.8071, 0.0000)
Al (0.8071, 0.1929, 0.0000)
Ga (0.5000, 0.5000, 0.5000)
Cu (0.0819, 0.0819, 0.3030)
Cu (0.1646, 0.4005, 0.8299)
Cu (0.2939, 0.7061, 0.5000)
Cu (0.4005, 0.1646, 0.8299)
Cu (0.5995, 0.8354, 0.1701)
Cu (0.7061, 0.2939, 0.5000)
Cu (0.8354, 0.5995, 0.1701)
Cu (0.9181, 0.9181, 0.6970)



a) has the most favorable energy; the next structure is 114 meV/atom above.



a) VASP calculation (PBE-GGA) on a geometry-optimized AlGaCu2S4 structure.

As for the space-group type: No. 121. For the magnetic moment, the calculation gives 0.000 μB per atom.

Cell: 5.2954 5.2954 10.7778 Å, 90.00 90.00 90.00°
Fractional positions:
Al (0.0000, 0.0000, 0.0000)
Al (0.5000, 0.5000, 0.5000)
Ga (0.0000, 0.0000, 0.5000)
Ga (0.5000, 0.5000, 0.0000)
Cu (0.0000, 0.5000, 0.2500)
Cu (0.0000, 0.5000, 0.7500)
Cu (0.5000, 0.0000, 0.2500)
Cu (0.5000, 0.0000, 0.7500)
S (0.2470, 0.2470, 0.1255)
S (0.2470, 0.7530, 0.8745)
S (0.2530, 0.2530, 0.6255)
S (0.2530, 0.7470, 0.3745)
S (0.7470, 0.2530, 0.3745)
S (0.7470, 0.7470, 0.6255)
S (0.7530, 0.2470, 0.8745)
S (0.7530, 0.7530, 0.1255)



b) VASP calculation (PBE-GGA) on a geometry-optimized AlGaCu2S4 structure.

As for the space-group type: No. 82. For the magnetic moment, the calculation gives 0.000 μB per atom.

Cell: 5.3501 5.3501 10.5758 Å, 90.00 90.00 90.00°
Fractional positions:
Al (0.0000, 0.0000, 0.0000)
Al (0.5000, 0.5000, 0.5000)
Ga (0.0000, 0.5000, 0.7500)
Ga (0.5000, 0.0000, 0.2500)
Cu (0.0000, 0.0000, 0.5000)
Cu (0.0000, 0.5000, 0.2500)
Cu (0.5000, 0.0000, 0.7500)
Cu (0.5000, 0.5000, 0.0000)
S (0.2475, 0.2472, 0.8763)
S (0.2472, 0.7525, 0.1237)
S (0.2525, 0.2528, 0.3763)
S (0.2528, 0.7475, 0.6237)
S (0.7472, 0.2525, 0.6237)
S (0.7475, 0.7472, 0.3763)
S (0.7528, 0.2475, 0.1237)
S (0.7525, 0.7528, 0.8763)



b) has the most favorable energy; the next structure is 11 meV/atom above.